Record 1
The following is a DFT calculation (PBEsol) of an optimized crystal structure of NaMnS3.

Output
Uncorrected formation energy   4.9 eV/f.u.
DOS(E_F)   1.227 states/eV per atom
Space-group type   Pm-3m, No. 221

Cell and atoms, written as POSCAR:
```
NaMnS3
1.0
-2.624 0.603 -3.929
-2.225 -4.124 0.854
-3.293 2.306 2.554
S Mn Na
3 1 1
Cartesian
-1.312 0.301 -1.964
-1.112 -2.062 0.427
-1.647 1.153 1.277
-4.071 -0.608 -0.261
0.000 0.000 0.000
```

***

Record 2
The following is a DFT calculation (PBEsol) of an optimized crystal structure of Na6MnS4.

Output
Uncorrected formation energy   -10.9 eV/f.u.
Space-group type   P6_3mc, No. 186

Cell and atoms, written as POSCAR:
```
Na6MnS4
1.0
6.872 0.000 0.000
0.000 8.900 0.000
0.000 -4.450 7.708
Na S Mn
12 8 2
Cartesian
6.613 2.501 6.583
4.348 -1.804 4.097
0.912 6.254 3.611
0.912 4.450 0.486
4.348 1.804 4.097
0.912 2.646 3.611
3.177 4.450 5.457
6.613 0.000 2.250
3.177 6.951 1.125
3.177 1.949 1.125
6.613 -2.501 6.583
4.348 0.000 7.222
5.893 4.450 4.818
2.457 -1.947 6.263
2.457 1.947 6.263
2.784 4.450 2.569
6.220 0.000 5.139
2.457 0.000 2.890
5.893 2.503 1.445
5.893 6.398 1.445
1.715 0.000 5.139
5.151 4.450 2.569
```

***

Record 3
The following is a DFT calculation (PBEsol) of an optimized crystal structure of NaMn3S.

Output
Uncorrected formation energy   2.0 eV/f.u.
DOS(E_F)   0.473 states/eV per atom
Space-group type   Pm-3m, No. 221

Cell and atoms, written as POSCAR:
```
NaMn3S
1.0
4.372 0.000 0.000
0.000 4.372 0.000
0.000 0.000 4.372
Mn S Na
3 1 1
Cartesian
0.000 2.186 0.000
2.186 0.000 0.000
0.000 0.000 2.186
0.000 0.000 0.000
2.186 2.186 2.186
```

***

Record 4
The following is a DFT calculation (PBEsol) of an optimized crystal structure of NaMnSb.

Output
Uncorrected formation energy   -0.1 eV/f.u.
DOS(E_F)   0.620 states/eV per atom
Space-group type   P4/nmm, No. 129

Cell and atoms, written as POSCAR:
```
NaMnSb
1.0
-1.186 -3.797 -1.703
2.506 -2.065 2.860
-5.650 -0.344 4.701
Na Sb Mn
2 2 2
Cartesian
-4.289 -2.124 2.224
-0.701 -1.152 3.056
-1.805 -1.972 0.157
-3.186 -1.303 5.123
0.000 0.000 0.000
0.660 -2.931 0.579
```

***

Record 5
The following is a DFT calculation (PBEsol) of an optimized crystal structure of NaMnSbTe2.

Output
Uncorrected formation energy   0.1 eV/f.u.
DOS(E_F)   0.662 states/eV per atom
Space-group type   P4/mmm, No. 123

Cell and atoms, written as POSCAR:
```
NaMnSbTe2
1.0
5.009 0.000 0.000
0.000 5.317 0.000
0.000 0.000 5.317
Te Na Mn Sb
2 1 1 1
Cartesian
0.000 0.000 2.658
0.000 2.658 0.000
2.504 2.658 2.658
0.000 0.000 0.000
2.504 0.000 0.000
```

***

Record 6
The following is a DFT calculation (PBEsol) of an optimized crystal structure of NaMnSb2Te.

Output
Uncorrected formation energy   0.5 eV/f.u.
DOS(E_F)   0.693 states/eV per atom
Space-group type   P4/mmm, No. 123

Cell and atoms, written as POSCAR:
```
NaMnSb2Te
1.0
-0.012 4.914 0.822
-1.386 -0.793 4.719
5.291 -0.240 1.514
Mn Na Sb Te
1 1 2 1
Cartesian
0.000 0.000 0.000
1.946 1.940 3.528
-0.006 2.457 0.411
-0.693 -0.397 2.360
2.645 -0.120 0.757
```

***

Record 7
The following is a DFT calculation (PBEsol) of an optimized crystal structure of NaZrMnSb2.

Output
Uncorrected formation energy   6.7 eV/f.u.
DOS(E_F)   1.014 states/eV per atom
Space-group type   P4/mmm, No. 123

Cell and atoms, written as POSCAR:
```
NaZrMnSb2
1.0
-2.743 1.329 -3.844
3.887 -1.120 -3.162
-1.734 -4.813 -0.427
Sb Mn Na Zr
2 1 1 1
Cartesian
-0.867 -2.407 -0.213
1.943 -0.560 -1.581
-0.295 -2.302 -3.716
0.000 0.000 0.000
-1.372 0.665 -1.922
```

***

Record 8
The following is a DFT calculation (PBEsol) of an optimized crystal structure of Na2ScMn.

Output
DOS(E_F)   1.368 states/eV per atom
Space-group type   Fm-3m, No. 225
Formation enthalpy at 0 K   0.88 eV/atom

Cell and atoms, written as POSCAR:
```
Na2ScMn
1.0
-0.063 1.233 4.950
-3.493 -2.058 3.097
1.403 -3.434 3.503
Sc Na Mn
1 2 1
Cartesian
0.000 0.000 0.000
-0.538 -1.065 2.888
-1.615 -3.194 8.663
-1.077 -2.129 5.775
```

***

Number 1: spin magnetization 6.2 μB/f.u.. Number 2: spin magnetization 5.0 μB/f.u.. Number 3: spin magnetization 9.7 μB/f.u.. Number 4: spin magnetization 3.7 μB/f.u.. Number 5: spin magnetization 3.2 μB/f.u.. Number 6: spin magnetization 2.4 μB/f.u.. Number 7: spin magnetization 3.1 μB/f.u.. Number 8: spin magnetization 3.0 μB/f.u..